Entry 1:
# YMg2Cr | Alexandria | meta-GGA SCAN | PBEsol geometry
data_YMg2Cr
_chemical_formula_sum 'Y1 Mg2 Cr1'
_symmetry_space_group_name_H-M 'P 1'
_symmetry_Int_Tables_number 1
_symmetry_space_group_name_Hall 'P 1'
_cell_length_a 3.3242
_cell_length_b 3.3242
_cell_length_c 7.9528
_cell_angle_alpha 90.00
_cell_angle_beta 90.00
_cell_angle_gamma 90.00
loop_
_atom_site_label
_atom_site_fract_x
_atom_site_fract_y
_atom_site_fract_z
Y1 0.0000 0.0000 0.0000
Mg1 0.0000 0.0000 0.4233
Mg2 0.5000 0.5000 0.6838
Cr1 0.5000 0.5000 0.2262
# - energy of formation (eV/atom) = 0.098

---

Entry 2:
# In2TcRh | Alexandria | meta-GGA SCAN | PBEsol geometry
data_In2TcRh
_chemical_formula_sum 'In2 Tc1 Rh1'
_symmetry_space_group_name_H-M 'P 1'
_symmetry_Int_Tables_number 1
_symmetry_space_group_name_Hall 'P 1'
_cell_length_a 3.1849
_cell_length_b 3.1849
_cell_length_c 6.4535
_cell_angle_alpha 90.00
_cell_angle_beta 90.00
_cell_angle_gamma 90.00
loop_
_atom_site_label
_atom_site_fract_x
_atom_site_fract_y
_atom_site_fract_z
In1 0.0000 0.0000 0.2468
In2 0.0000 0.0000 0.7532
Tc1 0.5000 0.5000 0.5000
Rh1 0.5000 0.5000 0.0000
# - E above lowest polymorph (meV per atom) = 0
# - energy of formation (eV/atom) = -0.026